Entry 1:
# Fe3PPt

A relaxed Fe3PPt crystal (PBE-GGA, the Alexandria database).

Lattice parameters (Å, degrees): 4.667 4.667 4.667 90.00 90.00 90.00
Fractional positions:
Fe 0.000 0.000 0.500
Fe 0.000 0.500 0.000
Fe 0.500 0.000 0.000
P 0.500 0.500 0.500
Pt 0.000 0.000 0.000

Summary:
* DFT formation energy: 1238 meV per atom
* excess energy over the best structure of this formula in the dataset: 0.729 eV per atom
* crystal system: cubic

Entry 2:
# SrAgIr2

A relaxed SrAgIr2 crystal (PBE-GGA, the Alexandria database).

Lattice parameters (Å, degrees): 4.623 4.623 6.651 98.60 98.60 37.56
Fractional positions:
Sr 0.000 0.000 0.000
Ag 0.226 0.226 0.679
Ir 0.483 0.483 0.425
Ir 0.743 0.743 0.324

Summary:
* DFT formation energy: 249 meV per atom
* excess energy over the best structure of this formula in the dataset: 0.059 eV per atom
* crystal system: monoclinic

Entry 3:
# AgPtPb2

A relaxed AgPtPb2 crystal (PBE-GGA, the Alexandria database).

Lattice parameters (Å, degrees): 6.846 6.846 6.846 99.44 99.44 132.22
Fractional positions:
Ag 0.000 0.000 0.000
Ag 0.750 0.250 0.500
Pt 0.250 0.750 0.500
Pt 0.500 0.500 0.000
Pb 0.210 0.625 0.085
Pb 0.375 0.460 0.585
Pb 0.540 0.125 0.915
Pb 0.875 0.790 0.415

Summary:
* DFT formation energy: 99 meV per atom
* excess energy over the best structure of this formula in the dataset: 0.135 eV per atom
* crystal system: tetragonal

Entry 4:
# ThCu4Ni

A relaxed ThCu4Ni crystal (PBE-GGA, the Alexandria database).

Lattice parameters (Å, degrees): 5.031 5.031 5.031 60.00 60.00 60.00
Fractional positions:
Th 0.000 0.000 0.000
Cu 0.377 0.377 0.377
Cu 0.377 0.377 0.869
Cu 0.377 0.869 0.377
Cu 0.869 0.377 0.377
Ni 0.750 0.750 0.750

Summary:
* DFT formation energy: -158 meV per atom
* crystal system: cubic

Entry 5:
# NaTl2Au

A relaxed NaTl2Au crystal (PBE-GGA, the Alexandria database).

Lattice parameters (Å, degrees): 10.810 10.810 10.810 19.20 19.20 19.20
Fractional positions:
Na 0.000 0.000 0.000
Tl 0.099 0.099 0.099
Tl 0.901 0.901 0.901
Au 0.500 0.500 0.500

Summary:
* DFT formation energy: 14 meV per atom
* crystal system: trigonal

Entry 6:
# KNa2In6

A relaxed KNa2In6 crystal (PBE-GGA, the Alexandria database).

Lattice parameters (Å, degrees): 9.065 9.065 9.065 156.20 121.20 64.34
Fractional positions:
K 0.000 0.000 0.000
Na 0.357 0.857 0.500
Na 0.643 0.143 0.500
In 0.002 0.678 0.323
In 0.332 0.500 0.832
In 0.355 0.678 0.677
In 0.645 0.322 0.323
In 0.668 0.500 0.168
In 0.998 0.322 0.677

Summary:
* DFT formation energy: -88 meV per atom
* crystal system: orthorhombic

Entry 7:
# RePIr2

A relaxed RePIr2 crystal (PBE-GGA, the Alexandria database).

Lattice parameters (Å, degrees): 2.872 2.872 6.761 90.00 90.00 90.00
Fractional positions:
Re 0.000 0.000 0.000
P 0.500 0.500 0.786
Ir 0.000 0.000 0.576
Ir 0.500 0.500 0.266

Summary:
* DFT formation energy: -62 meV per atom
* crystal system: tetragonal

Entry 8:
# AcPa2AgO7

A relaxed AcPa2AgO7 crystal (PBE-GGA, the Alexandria database).

Lattice parameters (Å, degrees): 4.299 4.299 11.443 90.00 90.00 90.00
Fractional positions:
Ac 0.000 0.000 0.000
Pa 0.500 0.500 0.201
Pa 0.500 0.500 0.799
Ag 0.000 0.000 0.500
O 0.000 0.500 0.151
O 0.000 0.500 0.849
O 0.500 0.000 0.151
O 0.500 0.000 0.849
O 0.500 0.500 0.000
O 0.500 0.500 0.372
O 0.500 0.500 0.628

Summary:
* E: -8.362 eV per atom
* crystal system: tetragonal